First-principles (PBE-GGA) data for a geometry-optimized TbSm2Zn4 structure, as listed in Alexandria via LeMat-Bulk.

Cell and atoms, written as POSCAR:
```
TbSm2Zn4
1.0
4.958 0.000 -1.580
-0.504 4.932 -1.580
-0.403 -0.446 7.303
Zn Sm Tb
4 2 1
direct
0.607 0.107 0.214 Zn
0.893 0.393 0.786 Zn
0.107 0.607 0.214 Zn
0.393 0.893 0.786 Zn
0.722 0.722 0.443 Sm
0.278 0.278 0.557 Sm
0.000 0.000 0.000 Tb
```

---

First-principles (PBE-GGA) data for a geometry-optimized Tb2Sm2Zn structure, as listed in Alexandria via LeMat-Bulk.

Values from the calculation:
Energy above the most stable polymorph in this dataset   2.54 eV/f.u.

Cell and atoms, written as POSCAR:
```
Tb2Sm2Zn
1.0
4.238 0.000 0.000
0.000 4.238 0.000
-2.119 -2.119 8.973
Tb Sm Zn
2 2 1
direct
0.750 0.250 0.500 Tb
0.250 0.750 0.500 Tb
0.587 0.587 0.175 Sm
0.413 0.413 0.825 Sm
0.000 0.000 0.000 Zn
```

---

Ordered DFT total energy results: -20.25 -18.07; unit eV for the cell shown.